## Th2FeBi (GGA-PBE)

Data for Th2FeBi after structural relaxation.

Output
The formation energy from the elements comes out at -0.172 eV per atom. The offset from the most stable computed form comes out at 0 meV per atom. The electronic total energy comes out at -27.87 eV per formula unit.

Cell: 5.1933 7.1129 13.0571 Å, 90.00 90.00 90.00°
Fractional coordinates of all 16 atoms:
Bi 0.9382 0.5014 0.3669
Th 0.4383 0.4986 0.9045
Th 0.9383 0.0014 0.4045
Bi 0.9382 0.0014 0.1331
Th 0.9383 0.7487 0.7500
Fe 0.9382 0.4988 0.8805
Fe 0.4382 0.0012 0.3805
Th 0.4383 0.2513 0.2500
Th 0.9383 0.5014 0.0955
Th 0.4383 0.9986 0.5955
Th 0.4383 0.7513 0.2500
Bi 0.4382 0.4986 0.6331
Fe 0.4382 0.5012 0.1195
Th 0.9383 0.2487 0.7500
Fe 0.9382 0.9988 0.6195
Bi 0.4382 0.9986 0.8669


## ScAlB2O (GGA-PBE)

Data for ScAlB2O after structural relaxation.

Output
The electronic total energy comes out at -24.65 eV per formula unit. For the uncorrected formation energy, the calculation gives 0.7466 eV/atom.

Cell: 4.6237 3.8703 4.6237 Å, 90.00 90.00 90.00°
Fractional coordinates of all 5 atoms:
Sc 0.0000 0.0000 0.0000
O 0.0000 0.5000 0.0000
Al 0.5000 0.5000 0.5000
B 0.0000 0.0000 0.5000
B 0.5000 0.0000 0.0000


## TaTlAg (GGA-PBE)

Data for TaTlAg after structural relaxation.

Output
The formation energy from the elements comes out at 1.024 eV per atom. The offset from the most stable computed form comes out at 562 meV per atom. The electronic total energy comes out at -14.00 eV per formula unit.

Cell: 4.6467 4.6467 4.6467 Å, 60.00 60.00 60.00°
Fractional coordinates of all 3 atoms:
Tl 0.0000 0.0000 0.0000
Ta 0.2500 0.2500 0.2500
Ag 0.5000 0.5000 0.5000


## NdBRh2 (GGA-PBE)

Data for NdBRh2 after structural relaxation.

Output
The formation energy from the elements comes out at -0.351 eV per atom. The electronic total energy comes out at -27.55 eV per formula unit.

Cell: 3.7829 3.7829 5.8418 Å, 71.11 71.11 60.00°
Fractional coordinates of all 4 atoms:
Rh 0.7893 0.7893 0.6320
Rh 0.2107 0.2107 0.3680
Nd 0.0000 0.0000 0.0000
B 0.5000 0.5000 0.5000


## Co2ReNi (GGA-PBE)

Data for Co2ReNi after structural relaxation.

Output
The formation energy from the elements comes out at 0.075 eV per atom. The offset from the most stable computed form comes out at 63 meV per atom. The electronic total energy comes out at -32.14 eV per formula unit.

Cell: 3.6391 2.5803 5.6612 Å, 62.91 90.00 90.00°
Fractional coordinates of all 4 atoms:
Ni 0.0000 0.5079 0.4918
Re 0.5000 0.7453 0.7547
Co 0.5000 0.2511 0.2491
Co 0.0000 0.9958 0.0044


## Pm6IrRu2 (GGA-PBE)

Data for Pm6IrRu2 after structural relaxation.

Output
The formation energy from the elements comes out at -0.300 eV per atom. The offset from the most stable computed form comes out at 0 meV per atom. The electronic total energy comes out at -58.62 eV per formula unit.

Cell: 8.4900 8.4900 8.4900 Å, 107.82 110.19 110.42°
Fractional coordinates of all 18 atoms:
Ru 0.6705 0.0000 0.6705
Pm 0.8135 0.7359 0.5494
Ir 0.0000 0.5000 0.5000
Pm 0.9192 0.7447 0.1745
Ir 0.0000 0.0000 0.0000
Pm 0.3127 0.6436 0.3309
Pm 0.5702 0.7447 0.8255
Pm 0.3127 0.9818 0.6691
Pm 0.8135 0.2641 0.0776
Pm 0.6873 0.0182 0.3309
Ru 0.3295 0.0000 0.3295
Pm 0.4298 0.2553 0.1745
Pm 0.6873 0.3564 0.6691
Pm 0.0808 0.2553 0.8255
Pm 0.1865 0.2641 0.4506
Ru 0.5000 0.3795 0.8795
Pm 0.1865 0.7359 0.9224
Ru 0.5000 0.6205 0.1205


## Cu2PbAu (GGA-PBE)

Data for Cu2PbAu after structural relaxation.

Output
The formation energy from the elements comes out at 0.159 eV per atom. The electronic total energy comes out at -14.54 eV per formula unit.

Cell: 4.9008 4.9008 4.5636 Å, 72.73 72.73 43.88°
Fractional coordinates of all 4 atoms:
Au 0.2674 0.2674 0.1953
Cu 0.0081 0.0081 0.9969
Cu 0.7282 0.7282 0.7936
Pb 0.4963 0.4963 0.5142


## SrZnAs2 (GGA-PBE)

Data for SrZnAs2 after structural relaxation.

Output
The formation energy from the elements comes out at -0.441 eV per atom. The electronic total energy comes out at -14.02 eV per formula unit.

Cell: 5.2551 5.2551 8.9942 Å, 73.01 73.01 90.00°
Fractional coordinates of all 8 atoms:
As 0.8750 0.7079 0.7500
Zn 0.5000 0.5000 0.0000
Sr 0.0000 0.0000 0.0000
Sr 0.7500 0.2500 0.5000
Zn 0.2500 0.7500 0.5000
As 0.3750 0.5421 0.7500
As 0.4579 0.1250 0.2500
As 0.2921 0.6250 0.2500


## LiThTe2O8 (GGA-PBE)

Data for LiThTe2O8 after structural relaxation.

Output
The electronic total energy comes out at -73.82 eV per formula unit. For the uncorrected formation energy, the calculation gives -1.5450 eV/atom.

Cell: 5.9833 5.9833 6.5134 Å, 90.00 90.00 120.00°
Fractional coordinates of all 12 atoms:
O 0.6667 0.3333 0.5650
O 0.8479 0.6958 0.2293
Th 0.0000 0.0000 0.5000
Te 0.6667 0.3333 0.2836
O 0.1521 0.3042 0.7707
Li 0.0000 0.0000 0.0000
O 0.3333 0.6667 0.4350
Te 0.3333 0.6667 0.7164
O 0.6958 0.8479 0.7707
O 0.1521 0.8479 0.7707
O 0.3042 0.1521 0.2293
O 0.8479 0.1521 0.2293


## Mg3Cd4Pb (GGA-PBE)

Data for Mg3Cd4Pb after structural relaxation.

Output
The formation energy from the elements comes out at -0.041 eV per atom. The electronic total energy comes out at -12.48 eV per formula unit.

Cell: 5.7310 6.4109 10.1884 Å, 90.00 90.00 90.00°
Fractional coordinates of all 16 atoms:
Cd 0.5000 0.7582 0.0000
Cd 0.8284 0.2357 0.2500
Mg 0.6390 0.5000 0.7500
Cd 0.5000 0.2418 0.5000
Mg 0.3403 0.0000 0.2500
Mg 0.0000 0.0000 0.0000
Cd 0.1716 0.2357 0.7500
Mg 0.0000 0.0000 0.5000
Mg 0.6597 0.0000 0.7500
Pb 0.0000 0.5000 0.5000
Cd 0.5000 0.7582 0.5000
Cd 0.5000 0.2418 0.0000
Mg 0.3610 0.5000 0.2500
Pb 0.0000 0.5000 0.0000
Cd 0.1716 0.7643 0.7500
Cd 0.8284 0.7643 0.2500


## AgRhF3 (GGA-PBE)

Data for AgRhF3 after structural relaxation.

Output
The offset from the most stable computed form comes out at 577 meV per atom. The electronic total energy comes out at -17.67 eV per formula unit. For the uncorrected formation energy, the calculation gives -0.3709 eV/atom.

Cell: 4.3490 4.3490 4.3490 Å, 90.00 90.00 90.00°
Fractional coordinates of all 5 atoms:
Rh 0.5000 0.5000 0.5000
F 0.0000 0.0000 0.5000
F 0.5000 0.0000 0.0000
Ag 0.0000 0.0000 0.0000
F 0.0000 0.5000 0.0000


## Tm3TlTc (GGA-PBE)

Data for Tm3TlTc after structural relaxation.

Output
The formation energy from the elements comes out at -0.131 eV per atom. The offset from the most stable computed form comes out at 70 meV per atom. The electronic total energy comes out at -26.80 eV per formula unit.

Cell: 5.2452 6.8756 8.5222 Å, 112.58 90.00 112.42°
Fractional coordinates of all 10 atoms:
Tm 0.9241 0.8483 0.7693
Tc 0.8194 0.6389 0.9794
Tm 0.7862 0.5724 0.2715
Tm 0.4125 0.8250 0.1201
Tm 0.5875 0.1750 0.8799
Tm 0.2138 0.4276 0.7285
Tl 0.3717 0.7434 0.5023
Tl 0.6283 0.2566 0.4977
Tm 0.0759 0.1517 0.2307
Tc 0.1806 0.3611 0.0206


Among the records above, which one has the highest electronic total energy?
Mg3Cd4Pb


Repeat the seventh record exactly.
## Cu2PbAu (GGA-PBE)

Data for Cu2PbAu after structural relaxation.

Output
The formation energy from the elements comes out at 0.159 eV per atom. The electronic total energy comes out at -14.54 eV per formula unit.

Cell: 4.9008 4.9008 4.5636 Å, 72.73 72.73 43.88°
Fractional coordinates of all 4 atoms:
Au 0.2674 0.2674 0.1953
Cu 0.0081 0.0081 0.9969
Cu 0.7282 0.7282 0.7936
Pb 0.4963 0.4963 0.5142


The lowest electronic total energy belongs to which entry?
LiThTe2O8